# 1
VASP calculation (PBE-GGA) on crystalline Cd2TcTe at its relaxed geometry.

Summary:
Raw formation energy, eV/atom: 0.43

Cell lengths 10.5958, 10.5958, 4.9792 Å; angles 90.00, 90.00, 90.00 degrees
Closest atoms and distances in Å follow each position.
Space group I4_1/amd (No. 141, origin choice 2)
One atom of each set of equivalent atoms:
Cd: 0.0000 0.0000 0.0000  2 Tc 2.72
Tc: 0.0000 0.2500 0.8750  2 Te 2.49, 4 Cd 2.72
Te: 0.0000 0.2500 0.3750  2 Tc 2.49

---

# 2
VASP calculation (PBE-GGA) on crystalline LaDyNi3 at its relaxed geometry.

Summary:
ΔH_f (0 K), eV per atom: -0.379

Cell lengths 3.9583, 24.4954, 4.0363 Å; angles 90.00, 90.00, 90.00 degrees
Closest atoms and distances in Å follow each position.
Space group Cmcm (No. 63)
One atom of each set of equivalent atoms:
La: 0.0000 0.0730 0.2500  12 Ni 3.05-3.24
Dy: 0.0000 0.2051 0.7500  7 Ni 2.81-2.91
Ni: 0.0000 0.3223 0.7500  2 Ni 2.41
Ni: 0.0000 0.3764 0.2500  3 Ni 2.39-2.41
Ni: 0.0000 0.4738 0.2500  3 Ni 2.39

---

# 3
VASP calculation (PBE-GGA) on crystalline Tb2Hf2Si2C at its relaxed geometry.

Summary:
Raw formation energy, eV/atom: -0.69

Cell lengths 4.3605, 4.3605, 15.2024 Å; angles 90.00, 90.00, 90.00 degrees
Closest atoms and distances in Å follow each position.
Space group I4/mmm (No. 139)
One atom of each set of equivalent atoms:
Tb: 0.0000 0.0000 0.1688  1 C 2.57
Hf: 0.0000 0.5000 0.0000  2 C 2.18
Si: 0.0000 0.0000 0.3718  4 Hf 2.92, 5 Tb 3.08-3.14
C: 0.0000 0.0000 0.0000  4 Hf 2.18

---

# 4
VASP calculation (PBE-GGA) on crystalline Y4Te2AuS at its relaxed geometry.

Summary:
Raw formation energy, eV/atom: -1.36

Cell lengths 7.4002, 4.1116, 7.4245 Å; angles 90.00, 108.36, 90.00 degrees
Closest atoms and distances in Å follow each position.
Space group P2/m (No. 10)
One atom of each set of equivalent atoms:
Y: 0.2318 0.0000 0.2174  2 S 2.83, 1 Au 2.93, 3 Te 3.10-3.15
Y: 0.2574 0.5000 0.7773  2 Au 2.88, 1 S 2.89, 3 Te 3.10-3.13
Te: 0.0000 0.0000 0.5000  6 Y 3.10
Te: 0.5000 0.5000 0.5000  6 Y 3.13-3.15
Au: 0.5000 0.0000 0.0000  6 Y 2.88-2.93
S: 0.0000 0.5000 0.0000  6 Y 2.83-2.89